(1)
A plane-wave DFT calculation with GGA-PBE was carried out for a relaxed LaNd4Dy3 crystal.

Calculated values
**Magnetization**: 0.000 μB per formula unit
**DOS(E_F)**: 1.795 states/eV/atom
**Formation enthalpy at 0 K**: 97 kJ/mol of formula units

The structure in CIF format:
```
data_LaNd4Dy3
_chemical_formula_sum 'La2 Nd8 Dy6'
_cell_length_a 3.5120
_cell_length_b 11.8212
_cell_length_c 13.1725
_cell_angle_alpha 90.00
_cell_angle_beta 90.00
_cell_angle_gamma 90.00
_symmetry_space_group_name_H-M 'I m m m'
_symmetry_Int_Tables_number 71
_symmetry_space_group_name_Hall '-I 2 2'
loop_
_atom_site_label
_atom_site_type_symbol
_atom_site_fract_x
_atom_site_fract_y
_atom_site_fract_z
La1 La 0.0000 0.0000 0.0000
Nd1 Nd 0.0000 0.2509 0.1334
Dy1 Dy 0.0000 0.0000 0.5000
Dy2 Dy 0.0000 0.5000 0.2594
```

---

(2)
A plane-wave DFT calculation with GGA-PBE was carried out for a relaxed Ho2ScS3 crystal.

Calculated values
**Magnetization**: 0.000 μB per formula unit
**E_form (uncorrected)**: -1.925 eV per atom
**DOS(E_F)**: 0.459 states/eV/atom

The structure in CIF format:
```
data_Ho2ScS3
_chemical_formula_sum 'Ho4 Sc2 S6'
_cell_length_a 3.8412
_cell_length_b 11.4208
_cell_length_c 5.4143
_cell_angle_alpha 90.00
_cell_angle_beta 90.00
_cell_angle_gamma 90.00
_symmetry_space_group_name_H-M 'P m m n'
_symmetry_Int_Tables_number 59
loop_
_symmetry_equiv_pos_as_xyz
'x,y,z'
'-x,-y,-z'
'-x+1/2,-y+1/2,z'
'x+1/2,y+1/2,-z'
'x+1/2,-y,-z'
'-x+1/2,y,z'
'-x,y+1/2,-z'
'x,-y+1/2,z'
loop_
_atom_site_label
_atom_site_type_symbol
_atom_site_fract_x
_atom_site_fract_y
_atom_site_fract_z
Ho1 Ho 0.2500 0.0809 0.2502
Sc1 Sc 0.2500 0.7500 0.2494
S1 S 0.2500 0.0909 0.7502
S2 S 0.2500 0.7500 0.7494
```

---

(3)
A plane-wave DFT calculation with GGA-PBE was carried out for a relaxed TmScCoGe crystal.

Calculated values
**Magnetization**: 0.767 μB per formula unit
**DOS(E_F)**: 0.437 states/eV/atom
**Formation enthalpy at 0 K**: -176 kJ/mol of formula units

The structure in CIF format:
```
data_TmScCoGe
_chemical_formula_sum 'Tm4 Sc4 Co4 Ge4'
_cell_length_a 6.6624
_cell_length_b 6.6624
_cell_length_c 6.6624
_cell_angle_alpha 90.00
_cell_angle_beta 90.00
_cell_angle_gamma 90.00
_symmetry_space_group_name_H-M 'F -4 3 m'
_symmetry_Int_Tables_number 216
_symmetry_space_group_name_Hall 'F -4 2 3'
loop_
_atom_site_label
_atom_site_type_symbol
_atom_site_fract_x
_atom_site_fract_y
_atom_site_fract_z
Tm1 Tm 0.0000 0.0000 0.0000
Sc1 Sc 0.0000 0.0000 0.5000
Co1 Co 0.2500 0.2500 0.2500
Ge1 Ge 0.2500 0.2500 0.7500
```

---

(4)
A plane-wave DFT calculation with GGA-PBE was carried out for a relaxed NbH3Os crystal.

Calculated values
**Magnetization**: 0.000 μB per formula unit
**DOS(E_F)**: 0.749 states/eV/atom
**Electronic total energy**: -6.002 eV per atom

The structure in CIF format:
```
data_NbH3Os
_chemical_formula_sum 'Nb1 H3 Os1'
_cell_length_a 3.4930
_cell_length_b 3.4930
_cell_length_c 3.4930
_cell_angle_alpha 90.00
_cell_angle_beta 90.00
_cell_angle_gamma 90.00
_symmetry_space_group_name_H-M 'P m -3 m'
_symmetry_Int_Tables_number 221
_symmetry_space_group_name_Hall '-P 4 2 3'
loop_
_atom_site_label
_atom_site_type_symbol
_atom_site_fract_x
_atom_site_fract_y
_atom_site_fract_z
Nb1 Nb 0.0000 0.0000 0.0000
H1 H 0.0000 0.5000 0.5000
Os1 Os 0.5000 0.5000 0.5000
```

---

> Which value of DOS(E_F) does entry 1 give?

1.795 states/eV/atom